1.
Material: Ca2TlCu2
Method: DFT, GGA-PBE
State: optimized geometry

Values from the calculation:
**Uncorrected energy**: -3.031 eV per atom

abc: 3.5316 3.5316 18.9537
angles: 90.00 90.00 90.00
Last column: nearest neighbours and their distance in Å.
Space group I4/mmm (No. 139)
Unique sites:
Ca (0.0000, 0.0000, 0.1200) (multiplicity 4)  4 Cu 3.03, 4 Tl 3.38
Tl (0.0000, 0.0000, 0.5000) (multiplicity 2)  8 Ca 3.38, 4 Tl 3.53
Cu (0.0000, 0.5000, 0.2500) (multiplicity 4)  4 Cu 2.50

---

2.
Material: Ag2RhSe
Method: DFT, GGA-PBE
State: optimized geometry

Values from the calculation:
**Raw formation energy**: 31.6 kJ/mol of atoms

abc: 7.5825 7.5825 5.1935
angles: 90.00 90.00 90.00
Last column: nearest neighbours and their distance in Å.
Space group I-42d (No. 122)
Unique sites:
Ag (0.2373, 0.2500, 0.1250) (multiplicity 8)  2 Ag 2.60, 2 Se 2.69, 2 Rh 2.83
Rh (0.0000, 0.0000, 0.5000) (multiplicity 4)  2 Se 2.60, 4 Ag 2.83
Se (0.0000, 0.0000, 0.0000) (multiplicity 4)  2 Rh 2.60, 4 Ag 2.69